[1]
{"formula": "Ba2SrTaIn", "functional": "PBE", "state": "relaxed", "lattice": [[-1.462, 1.277, 6.137], [-2.507, -4.646, 0.369], [5.477, -2.805, 1.889]], "species": ["Sr", "In", "Ba", "Ba", "Ta"], "frac_coords": [[0.000, 0.000, 0.000], [0.500, 0.500, 0.500], [0.000, 0.000, 0.500], [0.500, 0.000, 0.000], [0.000, 0.500, 0.000]], "final_energy_ev_per_cell": -13.139, "space_group": "P4/mmm, No. 123", "formation_energy_ev_per_atom": 1.396, "n_ef_per_ev_atom": 1.5477}

[2]
{"formula": "TbPaCo3", "functional": "PBE", "state": "relaxed", "lattice": [[4.043, 0.000, 0.000], [0.000, 3.825, 0.000], [0.000, -1.912, 11.309]], "species": ["Tb", "Tb", "Pa", "Pa", "Co", "Co", "Co", "Co", "Co", "Co"], "frac_coords": [[0.250, 0.070, 0.141], [0.750, 0.930, 0.859], [0.250, 0.799, 0.597], [0.750, 0.201, 0.403], [0.250, 0.374, 0.748], [0.750, 0.626, 0.252], [0.250, 0.475, 0.951], [0.750, 0.525, 0.049], [0.750, 0.312, 0.623], [0.250, 0.688, 0.377]], "final_energy_ev_per_cell": -73.778, "space_group": "Cmcm, No. 63", "formation_energy_ev_per_atom": -0.289, "n_ef_per_ev_atom": 0.8602}

[3]
{"formula": "SnPHS", "functional": "PBE", "state": "relaxed", "lattice": [[3.706, 0.000, 0.029], [0.063, 3.713, 0.016], [1.784, 1.740, 6.727]], "species": ["Sn", "P", "H", "S"], "frac_coords": [[0.168, 0.337, 0.240], [0.595, 0.767, 0.393], [0.167, 0.388, 0.746], [0.457, 0.631, 0.717]], "final_energy_ev_per_cell": -16.609, "space_group": "P1, No. 1", "n_ef_per_ev_atom": 0.1843}

[4]
{"formula": "Ac2Zn3Ga4Ag", "functional": "PBE", "state": "relaxed", "lattice": [[-3.341, 2.144, 2.068], [-2.957, -2.762, -1.913], [0.864, -6.713, 8.357]], "species": ["Ac", "Ac", "Zn", "Zn", "Zn", "Ga", "Ga", "Ga", "Ga", "Ag"], "frac_coords": [[0.500, 0.000, 0.248], [0.000, 0.500, 0.752], [0.000, 0.000, 0.500], [0.500, 0.000, 0.870], [0.000, 0.500, 0.130], [0.500, 0.500, 0.000], [0.000, 0.000, 0.000], [0.500, 0.000, 0.632], [0.000, 0.500, 0.368], [0.500, 0.500, 0.500]], "final_energy_ev_per_cell": -31.472, "space_group": "P-4m2, No. 115", "formation_energy_ev_per_atom": -0.447, "n_ef_per_ev_atom": 0.3712}

[5]
{"formula": "Sr4Ca2Au", "functional": "PBE", "state": "relaxed", "lattice": [[6.000, 0.000, 0.000], [0.000, 6.000, 0.000], [-3.000, -3.000, 9.865]], "species": ["Sr", "Sr", "Sr", "Sr", "Ca", "Ca", "Au"], "frac_coords": [[0.839, 0.839, 0.679], [0.161, 0.161, 0.321], [0.000, 0.500, 0.000], [0.500, 0.000, 0.000], [0.640, 0.640, 0.280], [0.360, 0.360, 0.720], [0.000, 0.000, 0.000]], "final_energy_ev_per_cell": -14.578, "space_group": "I4/mmm, No. 139", "formation_energy_ev_per_atom": -0.081, "n_ef_per_ev_atom": 0.8700}

[6]
{"formula": "CdPd2Pt2", "functional": "PBE", "state": "relaxed", "lattice": [[4.822, 0.000, 0.000], [-2.411, 4.942, -0.677], [0.000, -2.930, 3.861]], "species": ["Cd", "Pd", "Pd", "Pt", "Pt"], "frac_coords": [[0.000, 0.000, 0.000], [0.204, 0.407, 0.800], [0.796, 0.593, 0.200], [0.593, 0.186, 0.398], [0.407, 0.814, 0.602]], "final_energy_ev_per_cell": -23.989, "space_group": "C2/m, No. 12", "formation_energy_ev_per_atom": -0.121, "n_ef_per_ev_atom": 1.1173}

[7]
{"formula": "Mg2Ga2Ag7", "functional": "PBE", "state": "relaxed", "lattice": [[8.037, 0.991, 1.430], [-0.212, 5.086, 0.185], [-0.212, -1.613, 4.827]], "species": ["Mg", "Mg", "Ga", "Ga", "Ag", "Ag", "Ag", "Ag", "Ag", "Ag", "Ag"], "frac_coords": [[0.500, 0.271, 0.729], [0.500, 0.729, 0.271], [0.671, 0.184, 0.184], [0.329, 0.816, 0.816], [0.148, 0.807, 0.406], [0.852, 0.594, 0.193], [0.852, 0.193, 0.594], [0.148, 0.406, 0.807], [0.000, 0.000, 0.000], [0.684, 0.743, 0.743], [0.316, 0.257, 0.257]], "final_energy_ev_per_cell": -29.536, "space_group": "C2/m, No. 12", "formation_energy_ev_per_atom": -0.030, "n_ef_per_ev_atom": 0.3549}

[8]
{"formula": "ReCl", "functional": "PBE", "state": "relaxed", "lattice": [[-2.724, -0.638, -3.495], [-0.308, -2.178, -3.899], [-2.366, -3.157, -2.117]], "species": ["Cl", "Re"], "frac_coords": [[0.000, 0.000, 0.000], [0.500, 0.500, 0.500]], "final_energy_ev_per_cell": -12.069, "space_group": "R-3m, No. 166", "n_ef_per_ev_atom": 0.7539}